Entry 1:
# BePRhO2

A relaxed BePRhO2 crystal (PBE-GGA, Alexandria via LeMat-Bulk).

a b c (Å): 3.2506 3.2506 6.5592
angles (deg): 90.00 90.00 90.00
Closest atoms and distances in Å follow each position.
Fractional positions:
Rh  0.5000  0.5000  0.5000  4 P 2.30
O  0.0000  0.5000  0.0000  2 Be 1.63
Be  0.0000  0.0000  0.0000  4 O 1.63
O  0.5000  0.0000  0.0000  2 Be 1.63
P  0.0000  0.0000  0.5000  4 Rh 2.30

Summary:
E_tot ... -0.4124 Ry/atom
Space-group type ... P4/mmm, No. 123
Formation energy from raw total energies ... -330 meV/atom
D(E_F) ... 7.141 states/eV/cell

---

Entry 2:
# TbSn6Rh6

A relaxed TbSn6Rh6 crystal (PBE-GGA, Alexandria via LeMat-Bulk).

a b c (Å): 5.6580 5.6580 8.7961
angles (deg): 90.00 90.00 120.00
Closest atoms and distances in Å follow each position.
Fractional positions:
Sn  0.0000  0.0000  0.6628  1 Sn 2.86, 6 Rh 2.93, 1 Tb 2.97
Rh  0.5000  0.5000  0.7506  6 Sn 2.73-2.93, 4 Rh 2.83
Sn  0.0000  0.0000  0.3372  1 Sn 2.86, 6 Rh 2.93, 1 Tb 2.97
Rh  0.5000  0.0000  0.2494  6 Sn 2.73-2.93, 4 Rh 2.83
Rh  0.0000  0.5000  0.2494  6 Sn 2.73-2.93, 4 Rh 2.83
Sn  0.3333  0.6667  0.5000  6 Rh 2.74
Rh  0.0000  0.5000  0.7506  6 Sn 2.73-2.93, 4 Rh 2.83
Rh  0.5000  0.0000  0.7506  6 Sn 2.73-2.93, 4 Rh 2.83
Sn  0.6667  0.3333  0.0000  6 Rh 2.73
Rh  0.5000  0.5000  0.2494  6 Sn 2.73-2.93, 4 Rh 2.83
Tb  0.0000  0.0000  0.0000  8 Sn 2.97-3.27
Sn  0.6667  0.3333  0.5000  6 Rh 2.74
Sn  0.3333  0.6667  0.0000  6 Rh 2.73

Summary:
E_tot ... -0.4526 Ry/atom
Space-group type ... P6/mmm, No. 191
Energy of formation ... -0.5611 eV per atom
D(E_F) ... 5.451 states/eV/cell

---

Entry 3:
# ErTlCdGa

A relaxed ErTlCdGa crystal (PBE-GGA, Alexandria via LeMat-Bulk).

a b c (Å): 5.1167 5.1167 5.1167
angles (deg): 60.00 60.00 60.00
Closest atoms and distances in Å follow each position.
Fractional positions:
Tl  0.5000  0.5000  0.5000  4 Cd 3.13, 4 Er 3.13
Ga  0.0000  0.0000  0.0000  4 Er 3.13, 4 Cd 3.13
Cd  0.7500  0.7500  0.7500  4 Ga 3.13, 4 Tl 3.13
Er  0.2500  0.2500  0.2500  4 Tl 3.13, 4 Ga 3.13

Summary:
E_tot ... -0.2106 Ry/atom
Space-group type ... F-43m, No. 216
Energy of formation ... -0.1471 eV per atom
D(E_F) ... 2.331 states/eV/cell

---

Entry 4:
# Y2TaBr

A relaxed Y2TaBr crystal (PBE-GGA, Alexandria via LeMat-Bulk).

a b c (Å): 4.6766 4.6766 10.4311
angles (deg): 77.05 77.05 90.00
Closest atoms and distances in Å follow each position.
Fractional positions:
Ta  0.0000  0.0000  0.0000  4 Y 2.99, 4 Br 3.31
Br  0.5000  0.5000  0.0000  4 Y 2.96, 4 Ta 3.31
Y  0.8750  0.8683  0.7500  2 Br 2.96, 2 Ta 2.99, 2 Y 3.26
Y  0.6183  0.1250  0.2500  2 Br 2.96, 2 Ta 2.99, 2 Y 3.26
Y  0.1317  0.6250  0.2500  2 Br 2.96, 2 Ta 2.99, 2 Y 3.26
Y  0.3750  0.3817  0.7500  2 Br 2.96, 2 Ta 2.99, 2 Y 3.26
Ta  0.7500  0.2500  0.5000  4 Y 2.99, 4 Br 3.31
Br  0.2500  0.7500  0.5000  4 Y 2.96, 4 Ta 3.31

Summary:
E_tot ... -0.4317 Ry/atom
Space-group type ... I-42d, No. 122
Formation energy from raw total energies ... 739 meV/atom
D(E_F) ... 11.008 states/eV/cell